[1]
# MnAgIr2 PBE optimized geometry
data_MnAgIr2
_chemical_formula_sum 'Mn1 Ag1 Ir2'
_cell_length_a 2.7757
_cell_length_b 2.7757
_cell_length_c 7.9559
_cell_angle_alpha 90.00
_cell_angle_beta 90.00
_cell_angle_gamma 90.00
_symmetry_space_group_name_H-M 'P 1'
_symmetry_Int_Tables_number 1
_symmetry_space_group_name_Hall 'P 1'
loop_
_atom_site_label
_atom_site_fract_x
_atom_site_fract_y
_atom_site_fract_z
Mn1 0.0000 0.0000 0.0000
Ag1 0.5000 0.5000 0.2626
Ir1 0.0000 0.0000 0.5361
Ir2 0.5000 0.5000 0.7669
# Space-group type: No. 99
# Formation enthalpy at 0 K, eV per atom: 0.1718

***

[2]
# MnAgIr2 PBE optimized geometry
data_MnAgIr2
_chemical_formula_sum 'Mn1 Ag1 Ir2'
_cell_length_a 4.7874
_cell_length_b 4.7874
_cell_length_c 4.7874
_cell_angle_alpha 131.90
_cell_angle_beta 131.90
_cell_angle_gamma 70.38
_symmetry_space_group_name_H-M 'P 1'
_symmetry_Int_Tables_number 1
_symmetry_space_group_name_Hall 'P 1'
loop_
_atom_site_label
_atom_site_fract_x
_atom_site_fract_y
_atom_site_fract_z
Mn1 0.0000 0.0000 0.0000
Ag1 0.2500 0.7500 0.5000
Ir1 0.5000 0.5000 0.0000
Ir2 0.7500 0.2500 0.5000
# Space-group type: No. 119
# Formation enthalpy at 0 K, eV per atom: 0.2502

***

[3]
# Mn2AgIr PBE optimized geometry
data_Mn2AgIr
_chemical_formula_sum 'Mn2 Ag1 Ir1'
_cell_length_a 5.3089
_cell_length_b 5.3089
_cell_length_c 5.3089
_cell_angle_alpha 147.39
_cell_angle_beta 130.42
_cell_angle_gamma 60.61
_symmetry_space_group_name_H-M 'P 1'
_symmetry_Int_Tables_number 1
_symmetry_space_group_name_Hall 'P 1'
loop_
_atom_site_label
_atom_site_fract_x
_atom_site_fract_y
_atom_site_fract_z
Mn1 0.0000 0.0000 0.0000
Mn2 0.7467 0.2467 0.5000
Ag1 0.4905 0.4905 0.0000
Ir1 0.2252 0.7252 0.5000
# Space-group type: No. 44
# Formation enthalpy at 0 K, eV per atom: 0.2325

***

[4]
# MnAg2MoIr PBE optimized geometry
data_MnAg2MoIr
_chemical_formula_sum 'Mn1 Ag2 Mo1 Ir1'
_cell_length_a 4.7807
_cell_length_b 4.7807
_cell_length_c 4.4348
_cell_angle_alpha 90.00
_cell_angle_beta 90.00
_cell_angle_gamma 90.00
_symmetry_space_group_name_H-M 'P 1'
_symmetry_Int_Tables_number 1
_symmetry_space_group_name_Hall 'P 1'
loop_
_atom_site_label
_atom_site_fract_x
_atom_site_fract_y
_atom_site_fract_z
Mn1 0.0000 0.0000 0.0000
Ag1 0.0000 0.5000 0.0000
Ag2 0.5000 0.0000 0.0000
Mo1 0.5000 0.5000 0.5000
Ir1 0.0000 0.0000 0.5000
# Space-group type: No. 123
# Formation enthalpy at 0 K, eV per atom: 1.5332

***

The highest formation enthalpy at 0 K belongs to which entry? MnAg2MoIr

***

formation enthalpy at 0 K of number 3 (Mn2AgIr)? 0.2325 eV per atom

***

Number 3 is which compound? Mn2AgIr